# 1
# Mg2AlIr | the Alexandria database | PBE-GGA | relaxed
# - VASP energy (eV per cell) = -66.89
# - N(E_F) (states/eV/cell) = 6.51
# - energy of formation (meV/atom) = -232
data_Mg2AlIr
_cell_length_a 6.389
_cell_length_b 6.389
_cell_length_c 6.389
_cell_angle_alpha 90.00
_cell_angle_beta 90.00
_cell_angle_gamma 90.00
_space_group_name_H-M_alt 'F m -3 m'
_space_group_IT_number 225
_space_group_name_Hall '-F 4 2 3'
loop_
_atom_site_label
_atom_site_type_symbol
_atom_site_fract_x
_atom_site_fract_y
_atom_site_fract_z
_atom_site_occupancy
Mg1 Mg 0.250 0.250 0.250 1
Al1 Al 0.000 0.000 0.000 1
Ir1 Ir 0.000 0.000 0.500 1

***

# 2
# MgAl2Ir | the Alexandria database | PBE-GGA | relaxed
# - VASP energy (eV per cell) = -76.98
# - N(E_F) (states/eV/cell) = 8.44
# - energy of formation (meV/atom) = -326
data_MgAl2Ir
_cell_length_a 6.241
_cell_length_b 6.241
_cell_length_c 6.241
_cell_angle_alpha 90.00
_cell_angle_beta 90.00
_cell_angle_gamma 90.00
_space_group_name_H-M_alt 'F -4 3 m'
_space_group_IT_number 216
_space_group_name_Hall 'F -4 2 3'
loop_
_atom_site_label
_atom_site_type_symbol
_atom_site_fract_x
_atom_site_fract_y
_atom_site_fract_z
_atom_site_occupancy
Mg1 Mg 0.000 0.000 0.000 1
Al1 Al 0.000 0.000 0.500 1
Al2 Al 0.250 0.250 0.250 1
Ir1 Ir 0.250 0.250 0.750 1

***

Look up the VASP energy of the first one.
-66.89 eV per cell